Material: KSrZr
Method: DFT, PBE
State: optimized geometry

## Properties
* formation enthalpy at 0 K: 0.6894 eV/atom
* SG: I4mm (107)
* Fermi-level density of states: 1.705 states/eV/atom
* energy above the most stable polymorph in this dataset: 0.015 eV/atom

Structure (extended XYZ):
```
3
Lattice="-1.780 1.780 9.473 1.780 -1.780 9.473 1.780 1.780 -9.473" Properties=species:S:1:pos:R:3 pbc="T T T"
K 0.000 0.000 0.000
Sr 0.000 0.000 5.570
Zr 0.000 0.000 12.541
```